Computed, not measured: TlOsRu4 after structural relaxation at the PBE level of DFT.

Results
Formation energy from the elements, eV per atom: 0.843
E, eV/atom: -7.607

Lattice parameters (Å, degrees): 5.1291 5.1291 5.1291 60.00 60.00 60.00
With the nearest neighbours (Å) after each atom.
Element x y z (fractional)
Tl 0.7500 0.7500 0.7500  12 Ru 3.01, 4 Os 3.14
Os 0.0000 0.0000 0.0000  12 Ru 3.01, 4 Tl 3.14
Ru 0.8758 0.3747 0.3747  6 Ru 2.56-2.57
Ru 0.3747 0.3747 0.8758  6 Ru 2.56-2.57
Ru 0.3747 0.8758 0.3747  6 Ru 2.56-2.57
Ru 0.3747 0.3747 0.3747  6 Ru 2.56-2.57



Computed, not measured: TlOs2Ru after structural relaxation at the PBE level of DFT.

Results
Formation energy from the elements, eV per atom: 0.857
E, eV/atom: -7.668
E above lowest polymorph, meV per atom: 322

Lattice parameters (Å, degrees): 6.3686 6.3686 6.3686 154.65 140.25 47.74
With the nearest neighbours (Å) after each atom.
Element x y z (fractional)
Os 0.0304 0.0304 0.0000  4 Os 2.51-2.80, 4 Ru 2.70
Os 0.2094 0.7094 0.5000  4 Os 2.51-2.80, 4 Tl 2.78
Ru 0.4624 0.4624 0.0000  4 Os 2.70, 2 Ru 2.80, 2 Tl 2.89
Tl 0.7979 0.2979 0.5000  6 Os 2.78-3.05, 2 Tl 2.80, 2 Ru 2.89



Computed, not measured: TlOs2Ru after structural relaxation at the PBE level of DFT.

Results
Formation energy from the elements, eV per atom: 0.762
E, eV/atom: -7.764
E above lowest polymorph, meV per atom: 226

Lattice parameters (Å, degrees): 2.7872 3.8197 6.2117 90.00 90.00 90.00
With the nearest neighbours (Å) after each atom.
Element x y z (fractional)
Os 0.0000 0.0000 0.0423  3 Os 2.58-2.79, 4 Ru 2.69
Os 0.0000 0.0000 0.4577  3 Os 2.58-2.79, 4 Ru 2.69
Ru 0.5000 0.5000 0.2500  8 Os 2.69, 2 Ru 2.79
Tl 0.5000 0.5000 0.7500  2 Tl 2.79, 8 Os 2.98, 2 Ru 3.11



Computed, not measured: TlOs2Ru after structural relaxation at the PBE level of DFT.

Results
Formation energy from the elements, eV per atom: 0.723
E, eV/atom: -7.803
E above lowest polymorph, meV per atom: 188

Lattice parameters (Å, degrees): 9.5226 9.5226 9.5226 17.12 17.12 17.12
With the nearest neighbours (Å) after each atom.
Element x y z (fractional)
Os 0.9917 0.9917 0.9917  3 Ru 2.67, 6 Os 2.83
Os 0.5083 0.5083 0.5083  3 Ru 2.67, 6 Os 2.83
Ru 0.2500 0.2500 0.2500  6 Os 2.67, 6 Ru 2.83
Tl 0.7500 0.7500 0.7500  6 Tl 2.83, 6 Os 3.06



Computed, not measured: TlOs2Ru after structural relaxation at the PBE level of DFT.

Results
Formation energy from the elements, eV per atom: 0.535
E, eV/atom: -7.990
E above lowest polymorph, meV per atom: 0

Lattice parameters (Å, degrees): 2.8567 2.8567 7.9134 90.00 90.00 90.00
With the nearest neighbours (Å) after each atom.
Element x y z (fractional)
Os 0.0000 0.0000 0.0305  8 Os 2.66-2.86
Os 0.5000 0.5000 0.2491  8 Os 2.66-2.86, 4 Ru 2.69
Ru 0.0000 0.0000 0.4737  4 Os 2.69, 4 Ru 2.86, 4 Tl 2.96
Tl 0.5000 0.5000 0.7467  4 Tl 2.86, 4 Ru 2.96, 4 Os 3.02



Computed, not measured: TlOs4Ru after structural relaxation at the PBE level of DFT.

Results
Formation energy from the elements, eV per atom: 1.035
E, eV/atom: -8.392

Lattice parameters (Å, degrees): 5.2010 5.2010 5.2010 60.00 60.00 60.00
With the nearest neighbours (Å) after each atom.
Element x y z (fractional)
Tl 0.0000 0.0000 0.0000  12 Os 3.05, 4 Ru 3.18
Os 0.8725 0.3758 0.3758  6 Os 2.58-2.62
Os 0.3758 0.3758 0.8725  6 Os 2.58-2.62
Os 0.3758 0.8725 0.3758  6 Os 2.58-2.62
Os 0.3758 0.3758 0.3758  6 Os 2.58-2.62
Ru 0.7500 0.7500 0.7500  12 Os 3.05, 4 Tl 3.18



Computed, not measured: Tl3OsRu after structural relaxation at the PBE level of DFT.

Results
Formation energy from the elements, eV per atom: 1.350
E, eV/atom: -4.171
E above lowest polymorph, meV per atom: 0

Lattice parameters (Å, degrees): 5.2443 5.2443 5.2443 90.00 90.00 90.00
With the nearest neighbours (Å) after each atom.
Element x y z (fractional)
Ru 0.5000 0.5000 0.5000  12 Tl 3.71
Tl 0.0000 0.5000 0.0000  2 Os 2.62
Tl 0.0000 0.0000 0.5000  2 Os 2.62
Tl 0.5000 0.0000 0.0000  2 Os 2.62
Os 0.0000 0.0000 0.0000  6 Tl 2.62



Computed, not measured: Tl4OsRu after structural relaxation at the PBE level of DFT.

Results
Formation energy from the elements, eV per atom: 1.600
E, eV/atom: -3.395

Lattice parameters (Å, degrees): 5.9613 5.9613 5.9613 60.00 60.00 60.00
With the nearest neighbours (Å) after each atom.
Element x y z (fractional)
Tl 0.8747 0.3751 0.3751  6 Tl 2.98
Tl 0.3751 0.3751 0.8747  6 Tl 2.98
Tl 0.3751 0.8747 0.3751  6 Tl 2.98
Tl 0.3751 0.3751 0.3751  6 Tl 2.98
Os 0.7500 0.7500 0.7500  12 Tl 3.49, 4 Ru 3.65
Ru 0.0000 0.0000 0.0000  12 Tl 3.50, 4 Os 3.65



| no. | N(E_F) (states/eV/atom) |
| --- | --- |
| 1 | 1.678 |
| 2 | 1.023 |
| 3 | 1.071 |
| 4 | 1.311 |
| 5 | 0.660 |
| 6 | 1.458 |
| 7 | 0.455 |
| 8 | 1.178 |